1.
Zn2MoW2 | PBE-GGA | optimized geometry

Values from the calculation:
* crystal system: tetragonal
* energy above the most stable polymorph in this dataset: 0.000 eV per atom

```
Zn2MoW2
1.0
6.657 0.000 0.000
0.000 6.657 0.000
0.000 0.000 3.392
Zn Mo W
4 2 4
Direct
0.125 0.375 0.000 Zn
0.375 0.875 0.000 Zn
0.625 0.125 0.000 Zn
0.875 0.625 0.000 Zn
0.000 0.000 0.000 Mo
0.500 0.500 0.000 Mo
0.176 0.676 0.500 W
0.324 0.176 0.500 W
0.676 0.824 0.500 W
0.824 0.324 0.500 W
```

---

2.
Zn2MoW | PBE-GGA | optimized geometry

Values from the calculation:
* crystal system: monoclinic
* energy above the most stable polymorph in this dataset: 0.100 eV per atom

```
Zn2MoW
1.0
4.635 -1.332 0.000
4.635 1.332 0.000
-0.469 0.000 4.943
Zn Mo W
2 1 1
Direct
0.000 0.000 0.000 Zn
0.248 0.248 0.775 Zn
0.502 0.502 0.501 Mo
0.746 0.746 0.273 W
```

---

3.
ZnMoW3 | PBE-GGA | optimized geometry

Values from the calculation:
* crystal system: cubic
* energy above the most stable polymorph in this dataset: 0.000 eV per atom

```
ZnMoW3
1.0
4.507 0.000 0.000
0.000 4.507 0.000
0.000 0.000 4.507
Zn Mo W
1 1 3
Direct
0.000 0.000 0.000 Zn
0.500 0.500 0.500 Mo
0.000 0.000 0.500 W
0.000 0.500 0.000 W
0.500 0.000 0.000 W
```

---

4.
ZnMo2W | PBE-GGA | optimized geometry

Values from the calculation:
* crystal system: tetragonal

```
ZnMo2W
1.0
3.297 0.000 0.000
0.000 3.297 0.000
0.000 0.000 5.700
Zn Mo W
1 2 1
Direct
0.000 0.000 0.000 Zn
0.000 0.000 0.500 Mo
0.500 0.500 0.240 Mo
0.500 0.500 0.757 W
```

---

5.
ZnMo2W | PBE-GGA | optimized geometry

Values from the calculation:
* crystal system: monoclinic

```
ZnMo2W
1.0
2.683 0.000 0.000
0.000 4.484 0.000
-0.967 0.000 5.190
Zn Mo W
1 2 1
Direct
0.000 0.000 0.000 Zn
0.504 0.000 0.499 Mo
0.744 0.500 0.248 Mo
0.250 0.500 0.745 W
```

---

6.
Zn2MoW | PBE-GGA | optimized geometry

Values from the calculation:
* crystal system: orthorhombic
* energy above the most stable polymorph in this dataset: 0.086 eV per atom

```
Zn2MoW
1.0
1.710 -2.046 0.000
1.710 2.046 0.000
0.000 0.000 8.638
Zn Mo W
2 1 1
Direct
0.000 0.000 0.249 Zn
0.000 0.000 0.751 Zn
0.500 0.500 0.000 Mo
0.500 0.500 0.500 W
```

---

7.
Zn2MoW | PBE-GGA | optimized geometry

Values from the calculation:
* crystal system: tetragonal
* energy above the most stable polymorph in this dataset: 0.112 eV per atom

```
Zn2MoW
1.0
3.766 0.000 0.000
0.000 3.766 0.000
0.000 0.000 4.248
Zn Mo W
2 1 1
Direct
0.000 0.500 0.000 Zn
0.500 0.000 0.000 Zn
0.000 0.000 0.500 Mo
0.500 0.500 0.500 W
```

---

8.
Zn2MoW | PBE-GGA | optimized geometry

Values from the calculation:
* crystal system: tetragonal
* energy above the most stable polymorph in this dataset: 0.666 eV per atom

```
Zn2MoW
1.0
-3.495 3.495 2.636
3.495 -3.495 2.636
3.495 3.495 -2.636
Zn Mo W
4 2 2
Direct
0.124 0.625 0.999 Zn
0.375 0.374 0.499 Zn
0.626 0.125 0.001 Zn
0.875 0.876 0.501 Zn
0.000 0.000 0.000 Mo
0.750 0.250 0.500 Mo
0.250 0.750 0.500 W
0.500 0.500 0.000 W
```

---

9.
Zn2MoW2 | PBE-GGA | optimized geometry

Values from the calculation:
* crystal system: tetragonal
* energy above the most stable polymorph in this dataset: 0.243 eV per atom

```
Zn2MoW2
1.0
-1.858 1.858 5.854
1.858 -1.858 5.854
1.858 1.858 -5.854
Zn Mo W
2 1 2
Direct
0.094 0.094 0.000 Zn
0.906 0.906 0.000 Zn
0.500 0.500 0.000 Mo
0.250 0.750 0.500 W
0.750 0.250 0.500 W
```

---

10.
Zn2MoW | PBE-GGA | optimized geometry

Values from the calculation:
* crystal system: cubic
* energy above the most stable polymorph in this dataset: 0.395 eV per atom

```
Zn2MoW
1.0
0.000 3.095 3.095
3.095 0.000 3.095
3.095 3.095 0.000
Zn Mo W
2 1 1
Direct
0.250 0.250 0.250 Zn
0.750 0.750 0.750 Zn
0.000 0.000 0.000 Mo
0.500 0.500 0.500 W
```

---

11.
ZnMo4W | PBE-GGA | optimized geometry

Values from the calculation:
* crystal system: cubic

```
ZnMo4W
1.0
0.000 3.669 3.669
3.669 0.000 3.669
3.669 3.669 0.000
Zn Mo W
1 4 1
Direct
0.000 0.000 0.000 Zn
0.124 0.625 0.625 Mo
0.625 0.124 0.625 Mo
0.625 0.625 0.124 Mo
0.625 0.625 0.625 Mo
0.250 0.250 0.250 W
```

---

12.
ZnMo2W | PBE-GGA | optimized geometry

Values from the calculation:
* crystal system: tetragonal

```
ZnMo2W
1.0
-1.932 1.932 4.163
1.932 -1.932 4.163
1.932 1.932 -4.163
Zn Mo W
1 2 1
Direct
0.000 0.000 0.000 Zn
0.250 0.750 0.500 Mo
0.500 0.500 0.000 Mo
0.750 0.250 0.500 W
```

---

13.
Zn2MoW | PBE-GGA | optimized geometry

Values from the calculation:
* crystal system: tetragonal
* energy above the most stable polymorph in this dataset: 0.098 eV per atom

```
Zn2MoW
1.0
2.671 0.000 0.000
0.000 2.671 0.000
0.000 0.000 8.451
Zn Mo W
2 1 1
Direct
0.000 0.000 0.249 Zn
0.000 0.000 0.751 Zn
0.500 0.500 0.000 Mo
0.500 0.500 0.500 W
```

---

14.
Zn2MoW | PBE-GGA | optimized geometry

Values from the calculation:
* crystal system: monoclinic
* energy above the most stable polymorph in this dataset: 0.008 eV per atom

```
Zn2MoW
1.0
2.734 0.000 0.000
0.000 4.351 0.000
-0.718 0.000 5.101
Zn Mo W
2 1 1
Direct
0.000 0.000 0.000 Zn
0.015 0.500 0.248 Zn
0.605 0.000 0.497 Mo
0.408 0.500 0.751 W
```

---

15.
Zn2MoW2 | PBE-GGA | optimized geometry

Values from the calculation:
* crystal system: tetragonal
* energy above the most stable polymorph in this dataset: 0.218 eV per atom

```
Zn2MoW2
1.0
-1.643 1.643 7.529
1.643 -1.643 7.529
1.643 1.643 -7.529
Zn Mo W
2 1 2
Direct
0.250 0.750 0.500 Zn
0.750 0.250 0.500 Zn
0.000 0.000 0.000 Mo
0.405 0.405 0.000 W
0.595 0.595 0.000 W
```

---

16.
ZnMo2W | PBE-GGA | optimized geometry

Values from the calculation:
* crystal system: tetragonal

```
ZnMo2W
1.0
2.670 0.000 0.000
0.000 2.670 0.000
0.000 0.000 8.815
Zn Mo W
1 2 1
Direct
0.000 0.000 0.000 Zn
0.500 0.500 0.238 Mo
0.500 0.500 0.762 Mo
0.000 0.000 0.500 W
```

---

17.
ZnMo2W | PBE-GGA | optimized geometry

Values from the calculation:
* crystal system: orthorhombic

```
ZnMo2W
1.0
2.762 -4.232 0.000
2.762 4.232 0.000
0.000 0.000 2.679
Zn Mo W
1 2 1
Direct
0.000 0.000 0.000 Zn
0.000 0.500 0.500 Mo
0.500 0.000 0.500 Mo
0.500 0.500 0.000 W
```

---

18.
ZnMo2W | PBE-GGA | optimized geometry

Values from the calculation:
* crystal system: monoclinic

```
ZnMo2W
1.0
4.669 -1.328 0.000
4.669 1.328 0.000
-0.451 0.000 5.070
Zn Mo W
1 2 1
Direct
0.000 0.000 0.000 Zn
0.501 0.501 0.499 Mo
0.745 0.745 0.242 Mo
0.255 0.255 0.753 W
```

---

19.
ZnMo2W | PBE-GGA | optimized geometry

Values from the calculation:
* crystal system: tetragonal

```
ZnMo2W
1.0
-3.565 3.565 2.688
3.565 -3.565 2.688
3.565 3.565 -2.688
Zn Mo W
2 4 2
Direct
0.000 0.000 0.000 Zn
0.750 0.250 0.500 Zn
0.140 0.125 0.515 Mo
0.375 0.860 0.985 Mo
0.610 0.625 0.485 Mo
0.875 0.390 0.015 Mo
0.250 0.750 0.500 W
0.500 0.500 0.000 W
```

---

20.
ZnMo2W | PBE-GGA | optimized geometry

Values from the calculation:
* crystal system: cubic

```
ZnMo2W
1.0
0.000 3.145 3.145
3.145 0.000 3.145
3.145 3.145 0.000
Zn Mo W
1 2 1
Direct
0.000 0.000 0.000 Zn
0.500 0.500 0.500 Mo
0.750 0.750 0.750 Mo
0.250 0.250 0.250 W
```

---

21.
Zn3MoW | PBE-GGA | optimized geometry

Values from the calculation:
* crystal system: cubic
* energy above the most stable polymorph in this dataset: 0.000 eV per atom

```
Zn3MoW
1.0
4.799 0.000 0.000
0.000 4.799 0.000
0.000 0.000 4.799
Zn Mo W
3 1 1
Direct
0.000 0.000 0.500 Zn
0.000 0.500 0.000 Zn
0.500 0.000 0.000 Zn
0.500 0.500 0.500 Mo
0.000 0.000 0.000 W
```

---

22.
Zn2MoW | PBE-GGA | optimized geometry

Values from the calculation:
* crystal system: orthorhombic
* energy above the most stable polymorph in this dataset: 0.093 eV per atom

```
Zn2MoW
1.0
-1.689 2.063 4.338
1.689 -2.063 4.338
1.689 2.063 -4.338
Zn Mo W
2 1 1
Direct
0.250 0.250 0.000 Zn
0.750 0.750 0.000 Zn
0.500 0.000 0.500 Mo
0.000 0.500 0.500 W
```

---

23.
ZnMo2W | PBE-GGA | optimized geometry

Values from the calculation:
* crystal system: orthorhombic

```
ZnMo2W
1.0
-1.611 2.196 4.416
1.611 -2.196 4.416
1.611 2.196 -4.416
Zn Mo W
1 2 1
Direct
0.000 0.000 0.000 Zn
0.261 0.761 0.500 Mo
0.739 0.239 0.500 Mo
0.500 0.500 0.000 W
```

---

24.
ZnMo2W | PBE-GGA | optimized geometry

Values from the calculation:
* crystal system: orthorhombic

```
ZnMo2W
1.0
2.635 0.000 0.000
0.000 4.329 0.000
0.000 0.000 5.506
Zn Mo W
1 2 1
Direct
0.000 0.000 0.000 Zn
0.500 0.500 0.244 Mo
0.500 0.500 0.756 Mo
0.000 0.000 0.500 W
```

---

25.
ZnMo2W | PBE-GGA | optimized geometry

Values from the calculation:
* crystal system: orthorhombic

```
ZnMo2W
1.0
1.617 -2.186 0.000
1.617 2.186 0.000
0.000 0.000 8.859
Zn Mo W
1 2 1
Direct
0.000 0.000 0.000 Zn
0.500 0.500 0.249 Mo
0.500 0.500 0.751 Mo
0.000 0.000 0.500 W
```

---

26.
ZnMo2W | PBE-GGA | optimized geometry

Values from the calculation:
* crystal system: tetragonal

```
ZnMo2W
1.0
2.668 0.000 0.000
0.000 2.668 0.000
0.000 0.000 8.835
Zn Mo W
1 2 1
Direct
0.000 0.000 0.000 Zn
0.000 0.000 0.500 Mo
0.500 0.500 0.238 Mo
0.500 0.500 0.762 W
```

---

27.
Zn2MoW | PBE-GGA | optimized geometry

Values from the calculation:
* crystal system: cubic
* energy above the most stable polymorph in this dataset: 0.204 eV per atom

```
Zn2MoW
1.0
0.000 3.126 3.126
3.126 0.000 3.126
3.126 3.126 0.000
Zn Mo W
2 1 1
Direct
0.000 0.000 0.000 Zn
0.250 0.250 0.250 Zn
0.750 0.750 0.750 Mo
0.500 0.500 0.500 W
```

---

28.
Zn2MoW | PBE-GGA | optimized geometry

Values from the calculation:
* crystal system: monoclinic
* energy above the most stable polymorph in this dataset: 0.087 eV per atom

```
Zn2MoW
1.0
2.660 0.000 0.000
0.000 4.334 0.000
-0.975 0.000 5.242
Zn Mo W
2 1 1
Direct
0.001 0.000 0.250 Zn
0.999 0.000 0.750 Zn
0.500 0.500 0.500 Mo
0.500 0.500 0.000 W
```

---

29.
ZrMoW2 | PBE-GGA | optimized geometry

Values from the calculation:
* crystal system: tetragonal
* energy above the most stable polymorph in this dataset: 0.042 eV per atom

```
ZrMoW2
1.0
3.224 0.000 0.000
0.000 3.224 0.000
0.000 0.000 6.676
Zr Mo W
1 1 2
Direct
0.000 0.000 0.000 Zr
0.000 0.000 0.500 Mo
0.500 0.500 0.268 W
0.500 0.500 0.732 W
```

---

30.
ZrMoW2 | PBE-GGA | optimized geometry

Values from the calculation:
* crystal system: orthorhombic
* energy above the most stable polymorph in this dataset: 0.321 eV per atom

```
ZrMoW2
1.0
2.716 -4.782 0.000
2.716 4.782 0.000
0.000 0.000 2.711
Zr Mo W
1 1 2
Direct
0.000 0.000 0.000 Zr
0.500 0.500 0.000 Mo
0.000 0.500 0.500 W
0.500 0.000 0.500 W
```

---

We obtain E_form values of 197; 84; 966; 88; 61; 79; 89; 303; 314; 198; 196; 105; 83; 48; 302; 100; 103; 110; 336; 123; 804; 82; 79; 94; 28; 114; 124; 79; 25; 133 kJ/mol of formula units for the records listed above, in that order.